Y3Si2 | PBE | relaxed

Summary:
As for the space group: P-3m1. The value obtained for the energy relative to the elements, uncorrected is -0.575 eV/atom.

```
Y3Si2
1.0
4.9017 0.0000 0.0000
-2.4509 4.2450 0.0000
0.0000 0.0000 6.1327
Y Si
3 2
Direct
0.0000 0.0000 0.0000 Y
0.3333 0.6667 0.3199 Y
0.6667 0.3333 0.6801 Y
0.3333 0.6667 0.7986 Si
0.6667 0.3333 0.2014 Si
```